This record from Alexandria via LeMat-Bulk describes an optimized crystal structure of Pr2Ho2Er5. The functional is GGA-PBE.

crystal system: monoclinic
E: -4.390 eV per atom

Cell: 21.6251 3.4773 8.1919 Å, 90.00 99.99 90.00°
With the nearest neighbours (Å) after each atom.
Space group C2/m (No. 12)
Symmetry-distinct sites (fractional):
Pr: 0.1810 0.0000 0.1425 x4  2 Pr 3.48, 5 Er 3.50-3.89
Ho: 0.0466 0.5000 0.3557 x4  7 Er 3.20-3.53, 3 Ho 3.36-3.48
Er: 0.0000 0.0000 0.0000 x2  4 Er 3.27-3.48, 4 Ho 3.39
Er: 0.0950 0.0000 0.7307 x4  5 Er 3.27-3.48, 4 Ho 3.49-3.53, 1 Pr 3.56
Er: 0.1906 0.5000 0.5317 x4  1 Ho 3.20, 6 Er 3.22-3.48, 1 Pr 3.50

This record from Alexandria via LeMat-Bulk describes an optimized crystal structure of Cs2Tl15Sn2. The functional is GGA-PBE.

crystal system: trigonal
E: -2.410 eV per atom

Cell: 11.5802 11.5802 16.9953 Å, 90.00 90.00 120.00°
With the nearest neighbours (Å) after each atom.
Space group R-3m (No. 166, hexagonal axes)
Symmetry-distinct sites (fractional):
Cs: 0.0000 0.0000 0.1626 x6  18 Tl 4.14-4.51, 1 Sn 4.19
Tl: 0.0000 0.2888 0.5000 x18  8 Tl 3.32-3.56, 2 Sn 3.68
Tl: 0.0000 0.5000 0.0000 x9  8 Tl 3.32-3.35, 2 Sn 3.58
Tl: 0.0004 0.5002 0.3482 x18  8 Tl 3.35-3.56, 1 Sn 3.68
Sn: 0.0000 0.0000 0.4093 x6  1 Sn 3.08

This record from Alexandria via LeMat-Bulk describes an optimized crystal structure of Na2Al3Ga2. The functional is GGA-PBE.

crystal system: monoclinic
E: -2.841 eV per atom

Cell: 10.2322 4.1797 7.0543 Å, 90.00 103.52 90.00°
With the nearest neighbours (Å) after each atom.
Space group C2/m (No. 12)
Symmetry-distinct sites (fractional):
Na: 0.1352 0.0000 0.3539 x4  5 Ga 2.94-3.23
Al: 0.0000 0.5000 0.0000 x2  2 Ga 2.61
Al: 0.1823 0.0000 0.8961 x4  2 Ga 2.66, 2 Al 2.74
Ga: 0.0826 0.5000 0.6764 x4  3 Al 2.61-2.66, 1 Ga 2.66

This record from Alexandria via LeMat-Bulk describes an optimized crystal structure of SrPm4Pr8. The functional is GGA-PBE.

crystal system: monoclinic
E: -4.485 eV per atom

Cell: 11.7947 5.2702 15.3661 Å, 90.00 94.29 90.00°
With the nearest neighbours (Å) after each atom.
Space group C2/m (No. 12)
Symmetry-distinct sites (fractional):
Sr: 0.0000 0.0000 0.0000 x2  8 Pr 3.75-3.81, 4 Pm 3.84
Pm: 0.1237 0.5000 0.1623 x4  10 Pr 3.65-3.92, 2 Sr 3.84
Pm: 0.1526 0.0000 0.5375 x4  9 Pr 3.65-3.73, 3 Pm 3.70-3.73
Pr: 0.0404 0.5000 0.3867 x4  6 Pm 3.66-3.73, 6 Pr 3.68-3.73
Pr: 0.0748 0.0000 0.7633 x4  4 Pm 3.65-3.76, 7 Pr 3.69-3.74, 1 Sr 3.81
Pr: 0.1931 0.5000 0.9170 x4  5 Pr 3.66-3.84, 4 Pm 3.67-3.92, 3 Sr 3.75-3.77
Pr: 0.2338 0.0000 0.3105 x4  5 Pm 3.66-3.70, 7 Pr 3.66-3.73

Repeat the fourth record exactly.
This record from Alexandria via LeMat-Bulk describes an optimized crystal structure of SrPm4Pr8. The functional is GGA-PBE.

crystal system: monoclinic
E: -4.485 eV per atom

Cell: 11.7947 5.2702 15.3661 Å, 90.00 94.29 90.00°
With the nearest neighbours (Å) after each atom.
Space group C2/m (No. 12)
Symmetry-distinct sites (fractional):
Sr: 0.0000 0.0000 0.0000 x2  8 Pr 3.75-3.81, 4 Pm 3.84
Pm: 0.1237 0.5000 0.1623 x4  10 Pr 3.65-3.92, 2 Sr 3.84
Pm: 0.1526 0.0000 0.5375 x4  9 Pr 3.65-3.73, 3 Pm 3.70-3.73
Pr: 0.0404 0.5000 0.3867 x4  6 Pm 3.66-3.73, 6 Pr 3.68-3.73
Pr: 0.0748 0.0000 0.7633 x4  4 Pm 3.65-3.76, 7 Pr 3.69-3.74, 1 Sr 3.81
Pr: 0.1931 0.5000 0.9170 x4  5 Pr 3.66-3.84, 4 Pm 3.67-3.92, 3 Sr 3.75-3.77
Pr: 0.2338 0.0000 0.3105 x4  5 Pm 3.66-3.70, 7 Pr 3.66-3.73